(1)
Cs2BeTe2 | PBE-GGA | relaxed

Cell: 7.877 15.195 6.891 Å, 90.00 90.00 90.00°
Space group Ibam (No. 72)
Unique sites:
Cs (0.176, 0.144, 0.000) [8 per cell]
Be (0.000, 0.500, 0.250) [4 per cell]
Te (0.161, 0.409, 0.000) [8 per cell]

## Properties
Raw formation energy   -0.817 eV per atom
DOS at the Fermi energy   0.00 states/eV per cell

(2)
Cs3Be2Te4 | PBE-GGA | relaxed

Cell: 18.224 11.995 7.130 Å, 90.00 95.32 90.00°
Space group C2/c (No. 15)
Unique sites:
Cs (0.000, 0.140, 0.250) [4 per cell]
Cs (0.162, 0.374, 0.537) [8 per cell]
Be (0.218, 0.133, 0.967) [8 per cell]
Te (0.153, 0.307, 0.025) [8 per cell]
Te (0.167, 0.024, 0.655) [8 per cell]

## Properties
Raw formation energy   -0.661 eV per atom
DOS at the Fermi energy   7.16 states/eV per cell

(3)
Cs2BeTe | PBE-GGA | relaxed

Cell: 8.984 8.984 8.984 Å, 90.00 90.00 90.00°
Space group Fm-3m (No. 225)
Unique sites:
Cs (0.250, 0.250, 0.250) [8 per cell]
Be (0.000, 0.000, 0.000) [4 per cell]
Te (0.000, 0.000, 0.500) [4 per cell]

## Properties
Raw formation energy   0.045 eV per atom
DOS at the Fermi energy   0.00 states/eV per cell

(4)
CsBe3Te | PBE-GGA | relaxed

Cell: 5.218 5.218 5.218 Å, 90.00 90.00 90.00°
Space group Pm-3m (No. 221)
Unique sites:
Cs (0.000, 0.000, 0.000) [1 per cell]
Be (0.000, 0.500, 0.500) [3 per cell]
Te (0.500, 0.500, 0.500) [1 per cell]

## Properties
Raw formation energy   1.231 eV per atom
DOS at the Fermi energy   3.77 states/eV per cell

(5)
CsBe2Te2 | PBE-GGA | relaxed

Cell: 4.469 4.469 14.422 Å, 90.00 90.00 90.00°
Space group I4/mmm (No. 139)
Unique sites:
Cs (0.000, 0.000, 0.000) [2 per cell]
Be (0.000, 0.500, 0.250) [4 per cell]
Te (0.000, 0.000, 0.335) [4 per cell]

## Properties
Raw formation energy   -0.230 eV per atom
DOS at the Fermi energy   3.12 states/eV per cell

(6)
CsBe2Te | PBE-GGA | relaxed

Cell: 7.393 7.393 7.393 Å, 90.00 90.00 90.00°
Space group Fm-3m (No. 225)
Unique sites:
Cs (0.000, 0.000, 0.000) [4 per cell]
Be (0.250, 0.250, 0.250) [8 per cell]
Te (0.000, 0.000, 0.500) [4 per cell]

## Properties
Raw formation energy   0.976 eV per atom
DOS at the Fermi energy   11.86 states/eV per cell

(7)
CsTiBeTe3 | PBE-GGA | relaxed

Cell: 10.304 4.053 10.531 Å, 90.00 116.78 90.00°
Space group P2_1/m (No. 11)
Unique sites:
Cs (0.202, 0.250, 0.240) [2 per cell]
Ti (0.358, 0.750, 0.876) [2 per cell]
Be (0.077, 0.250, 0.595) [2 per cell]
Te (0.149, 0.250, 0.850) [2 per cell]
Te (0.194, 0.750, 0.551) [2 per cell]
Te (0.477, 0.750, 0.168) [2 per cell]

## Properties
Raw formation energy   -0.694 eV per atom
DOS at the Fermi energy   3.11 states/eV per cell

(8)
Cs2TiBeTe4 | PBE-GGA | relaxed

Cell: 6.159 15.631 27.524 Å, 90.00 90.00 90.00°
Space group Fddd (No. 70, origin choice 2)
Unique sites:
Cs (0.125, 0.125, 0.304) [16 per cell]
Ti (0.125, 0.125, 0.125) [8 per cell]
Be (0.125, 0.125, 0.625) [8 per cell]
Te (0.111, 0.283, 0.823) [32 per cell]

## Properties
Raw formation energy   -0.830 eV per atom

(9)
CsBeTlTe2 | PBE-GGA | relaxed

Cell: 8.451 5.405 9.575 Å, 90.00 91.71 90.00°
Space group P2/c (No. 13)
Unique sites:
Cs (0.000, 0.210, 0.250) [2 per cell]
Be (0.500, 0.500, 0.000) [2 per cell]
Tl (0.500, 0.101, 0.250) [2 per cell]
Te (0.280, 0.302, 0.928) [4 per cell]

## Properties
Raw formation energy   -0.440 eV per atom

(10)
Cs2Ti2Be | PBE-GGA | relaxed

Cell: 7.236 7.236 7.270 Å, 90.00 90.00 90.00°
Space group I4/mmm (No. 139)
Unique sites:
Cs (0.000, 0.500, 0.250) [4 per cell]
Ti (0.000, 0.000, 0.138) [4 per cell]
Be (0.000, 0.000, 0.500) [2 per cell]

## Properties
Total DFT energy (no corrections)   -28.78 eV per cell
DOS at the Fermi energy   4.99 states/eV per cell

(11)
CsTi3Be | PBE-GGA | relaxed

Cell: 4.922 4.922 4.922 Å, 90.00 90.00 90.00°
Space group Pm-3m (No. 221)
Unique sites:
Cs (0.000, 0.000, 0.000) [1 per cell]
Ti (0.000, 0.000, 0.500) [3 per cell]
Be (0.500, 0.500, 0.500) [1 per cell]

## Properties
Total DFT energy (no corrections)   -16.59 eV per cell
DOS at the Fermi energy   5.76 states/eV per cell

(12)
Cs2TiBe2 | PBE-GGA | relaxed

Cell: 4.626 4.626 14.792 Å, 90.00 90.00 90.00°
Space group I4/mmm (No. 139)
Unique sites:
Cs (0.000, 0.500, 0.250) [4 per cell]
Ti (0.000, 0.000, 0.000) [2 per cell]
Be (0.000, 0.000, 0.432) [4 per cell]

## Properties
Total DFT energy (no corrections)   -18.92 eV per cell
DOS at the Fermi energy   14.88 states/eV per cell

In order of appearance, mass density = 4.27, 3.97, 3.69, 3.36, 4.68, 4.58, 4.84, 4.18, 4.57, 3.23, 3.98, 3.48 g cm⁻³.